[1]
The following is a DFT calculation (PBE) of a relaxed KRe2Se crystal.

Results
**Space-group type**: Cmm2, No. 35
**Raw formation energy**: 757 meV per atom
**Density**: 10.82 g cm⁻³
**E_tot**: -6.612 eV per atom
**N(E_F)**: 4.0 states/eV/cell

extended XYZ file:
```
4
Lattice="1.543 -2.432 0.000 1.543 2.432 0.000 0.000 0.000 10.026" Properties=species:S:1:pos:R:3 pbc="T T T"
K 0.000 0.000 0.000
Re 0.000 0.000 5.033
Re 1.543 0.000 7.084
Se 1.543 0.000 2.777
```



[2]
The following is a DFT calculation (PBE) of a relaxed K2ReSe crystal.

Results
**Space-group type**: Cm, No. 8
**Raw formation energy**: 385 meV per atom
**Density**: 3.93 g cm⁻³
**E_tot**: -4.147 eV per atom
**N(E_F)**: 3.4 states/eV/cell

extended XYZ file:
```
4
Lattice="3.617 -2.086 0.000 3.617 2.086 0.000 -2.067 0.000 9.618" Properties=species:S:1:pos:R:3 pbc="T T T"
K 0.000 0.000 0.000
K -0.008 0.000 5.228
Re 2.406 0.000 2.614
Se 4.817 0.000 2.614
```